Entry 1:
Here is a relaxed structure of LiBPt2 from Alexandria. Energies are from PBE.

Values from the calculation:
total DFT energy (no corrections): -5.463 eV/atom
mass density: 12.2 g cm⁻³

Structure (CIF):
```
data_LiBPt2
_chemical_formula_sum 'Li3 B3 Pt6'
_space_group_name_H-M_alt 'R -3 m'
_space_group_IT_number 166
_space_group_name_Hall '-R 3 2"'
_cell_length_a 3.0363
_cell_length_b 3.0363
_cell_length_c 20.9152
_cell_angle_alpha 90.00
_cell_angle_beta 90.00
_cell_angle_gamma 120.00
loop_
_atom_site_label
_atom_site_type_symbol
_atom_site_fract_x
_atom_site_fract_y
_atom_site_fract_z
_atom_site_occupancy
Li1 Li 0.0000 0.0000 0.0000 1
B1 B 0.0000 0.0000 0.5000 1
Pt1 Pt 0.0000 0.0000 0.2279 1
```

---

Entry 2:
Here is a relaxed structure of Pm2NpAs from Alexandria. Energies are from PBE.

Values from the calculation:
total DFT energy (no corrections): -6.949 eV/atom
mass density: 9.9 g cm⁻³

Structure (CIF):
```
data_Pm2NpAs
_chemical_formula_sum 'Pm2 Np1 As1'
_space_group_name_H-M_alt 'P 4/m m m'
_space_group_IT_number 123
_space_group_name_Hall '-P 4 2'
_cell_length_a 4.764
_cell_length_b 4.764
_cell_length_c 4.444
_cell_angle_alpha 90.00
_cell_angle_beta 90.00
_cell_angle_gamma 90.00
loop_
_atom_site_label
_atom_site_type_symbol
_atom_site_fract_x
_atom_site_fract_y
_atom_site_fract_z
_atom_site_occupancy
Pm1 Pm 0.000 0.500 0.000 1
Np1 Np 0.000 0.000 0.500 1
As1 As 0.500 0.500 0.500 1
```

---

Entry 3:
Here is a relaxed structure of InRh2Se from Alexandria. Energies are from PBE.

Values from the calculation:
mass density: 9.5 g cm⁻³
raw formation energy: -0.173 eV per atom

Structure (CIF):
```
data_InRh2Se
_chemical_formula_sum 'In2 Rh4 Se2'
_space_group_name_H-M_alt 'I m m 2'
_space_group_IT_number 44
_cell_length_a 3.325
_cell_length_b 3.957
_cell_length_c 10.627
_cell_angle_alpha 90.00
_cell_angle_beta 90.00
_cell_angle_gamma 90.00
loop_
_space_group_symop_operation_xyz
'x,y,z'
'-x,-y,z'
'-x,y,z'
'x,-y,z'
'x+1/2,y+1/2,z+1/2'
'-x+1/2,-y+1/2,z+1/2'
'-x+1/2,y+1/2,z+1/2'
'x+1/2,-y+1/2,z+1/2'
loop_
_atom_site_label
_atom_site_type_symbol
_atom_site_fract_x
_atom_site_fract_y
_atom_site_fract_z
_atom_site_occupancy
In1 In 0.000 0.000 0.000 1
Rh1 Rh 0.000 0.000 0.582 1
Rh2 Rh 0.000 0.500 0.812 1
Se1 Se 0.000 0.500 0.254 1
```

---

Entry 4:
Here is a relaxed structure of SrPaGa4 from Alexandria. Energies are from PBE.

Values from the calculation:
total DFT energy (no corrections): -4.086 eV/atom
mass density: 7.9 g cm⁻³

Structure (CIF):
```
data_SrPaGa4
_chemical_formula_sum 'Sr4 Pa4 Ga16'
_space_group_name_H-M_alt 'F -4 3 m'
_space_group_IT_number 216
_space_group_name_Hall 'F -4 2 3'
_cell_length_a 7.959
_cell_length_b 7.959
_cell_length_c 7.959
_cell_angle_alpha 90.00
_cell_angle_beta 90.00
_cell_angle_gamma 90.00
loop_
_atom_site_label
_atom_site_type_symbol
_atom_site_fract_x
_atom_site_fract_y
_atom_site_fract_z
_atom_site_occupancy
Sr1 Sr 0.000 0.000 0.000 1
Pa1 Pa 0.250 0.250 0.750 1
Ga1 Ga 0.124 0.124 0.376 1
```